# 1
Density functional theory data (GGA-PBE) for a relaxed ZrIn2Br crystal.

Unit cell a=9.7009 b=9.7009 c=9.7009 alpha=20.64 beta=20.64 gamma=20.64
With the nearest neighbours (Å) after each atom.
Element x y z (fractional)
Zr (0.0000, 0.0000, 0.0000)  6 In 3.08
In (0.2512, 0.2512, 0.2512)  3 Zr 3.08, 3 Br 3.13
In (0.7488, 0.7488, 0.7488)  3 Zr 3.08, 3 Br 3.13
Br (0.5000, 0.5000, 0.5000)  6 In 3.13, 6 Br 3.48

Mass density in Mg/m³: 6.703
Symmetry: R-3m
DFT total energy in eV/atom: -4.09

=====

# 2
Density functional theory data (GGA-PBE) for a relaxed ZrIn2Br crystal.

Unit cell a=3.3470 b=3.3470 c=11.0274 alpha=90.00 beta=90.00 gamma=117.44
With the nearest neighbours (Å) after each atom.
Element x y z (fractional)
Zr (0.0000, 0.0000, 0.0000)  2 Br 2.72, 2 In 3.03
In (0.0000, 0.0000, 0.5285)  8 In 3.23-3.48
In (0.5000, 0.5000, 0.7753)  2 Zr 3.03, 6 In 3.23-3.35
Br (0.5000, 0.5000, 0.1902)  2 Zr 2.72

Mass density in Mg/m³: 6.070
Symmetry: Cmm2
DFT total energy in eV/atom: -4.24

=====

# 3
Density functional theory data (GGA-PBE) for a relaxed ZrIn2Br crystal.

Unit cell a=3.2750 b=3.2750 c=9.9944 alpha=90.00 beta=90.00 gamma=90.00
With the nearest neighbours (Å) after each atom.
Element x y z (fractional)
Zr (0.0000, 0.0000, 0.0000)  4 Br 2.90, 4 In 3.15
In (0.0000, 0.0000, 0.5393)  8 In 3.28-3.38
In (0.5000, 0.5000, 0.7863)  4 Zr 3.15, 8 In 3.28-3.38
Br (0.5000, 0.5000, 0.1740)  4 Zr 2.90

Mass density in Mg/m³: 6.208
Symmetry: P4mm
DFT total energy in eV/atom: -4.29

=====

# 4
Density functional theory data (GGA-PBE) for a relaxed ZrIn2Br crystal.

Unit cell a=6.0632 b=6.0632 c=5.5558 alpha=106.79 beta=106.79 gamma=31.13
With the nearest neighbours (Å) after each atom.
Element x y z (fractional)
Zr (0.0000, 0.0000, 0.0000)  2 Br 2.76
In (0.2544, 0.2544, 0.8727)  3 Zr 3.19-3.26, 2 In 3.25, 4 Br 3.26-3.42
In (0.4587, 0.4587, 0.5017)  1 Br 3.04, 4 Zr 3.12-3.38, 2 In 3.25
Br (0.6746, 0.6746, 0.3043)  2 Zr 2.76, 1 In 3.04

Mass density in Mg/m³: 6.607
Symmetry: Cm
DFT total energy in eV/atom: -4.21

=====

# 5
Density functional theory data (GGA-PBE) for a relaxed ZrIn2Br crystal.

Unit cell a=7.2924 b=7.2924 c=7.2924 alpha=97.63 beta=97.63 gamma=137.26
With the nearest neighbours (Å) after each atom.
Element x y z (fractional)
Zr (0.0000, 0.0000, 0.0000)  2 Br 2.66
Zr (0.7500, 0.2500, 0.5000)  2 Br 2.66
In (0.0498, 0.6250, 0.9248)  2 Zr 3.00, 2 In 3.02
In (0.3750, 0.2998, 0.4248)  2 Zr 3.00, 2 In 3.02
In (0.7002, 0.1250, 0.0752)  2 Zr 3.00, 2 In 3.02
In (0.8750, 0.9502, 0.5752)  2 Zr 3.00, 2 In 3.02
Br (0.2500, 0.7500, 0.5000)  2 Zr 2.66
Br (0.5000, 0.5000, 0.0000)  2 Zr 2.66

Mass density in Mg/m³: 5.430
Symmetry: I-42d
DFT total energy in eV/atom: -3.81

=====

# 6
Density functional theory data (GGA-PBE) for a relaxed ZrIn2Br crystal.

Unit cell a=11.1323 b=11.1323 c=11.1323 alpha=17.54 beta=17.54 gamma=17.54
With the nearest neighbours (Å) after each atom.
Element x y z (fractional)
Zr (0.0000, 0.0000, 0.0000)  3 Br 2.74
In (0.2594, 0.2594, 0.2594)  3 Zr 3.12, 9 In 3.32-3.40
In (0.5111, 0.5111, 0.5111)  9 In 3.32-3.40
Br (0.7249, 0.7249, 0.7249)  3 Zr 2.74

Mass density in Mg/m³: 6.083
Symmetry: R3m
DFT total energy in eV/atom: -4.37

=====

# 7
Density functional theory data (GGA-PBE) for a relaxed ZrIn2Br crystal.

Unit cell a=6.4445 b=6.4445 c=6.4445 alpha=150.69 beta=128.10 gamma=60.72
With the nearest neighbours (Å) after each atom.
Element x y z (fractional)
Zr (0.0000, 0.0000, 0.0000)  2 Br 2.72
In (0.4855, 0.4855, 0.0000)  4 In 3.26-3.45, 4 Zr 3.26, 2 Br 3.61
In (0.7591, 0.2591, 0.5000)  2 Zr 3.14, 4 In 3.26-3.45, 4 Br 3.33
Br (0.1956, 0.6956, 0.5000)  2 Zr 2.72

Mass density in Mg/m³: 6.508
Symmetry: Imm2
DFT total energy in eV/atom: -4.18

=====

# 8
Density functional theory data (GGA-PBE) for a relaxed ZrIn3Br7 crystal.

Unit cell a=7.5710 b=7.5710 c=8.5784 alpha=112.64 beta=112.64 gamma=79.00
With the nearest neighbours (Å) after each atom.
Element x y z (fractional)
Zr (0.0000, 0.0000, 0.0000)  6 Br 2.64-2.69
In (0.2019, 0.7993, 0.5056)  2 Br 2.95-3.27
In (0.4980, 0.4980, 0.9385)  4 Br 3.07-3.37
In (0.7993, 0.2019, 0.5056)  2 Br 2.95-3.27
Br (0.0513, 0.6653, 0.7514)  1 Zr 2.69
Br (0.1719, 0.1719, 0.8818)  1 Zr 2.66
Br (0.3325, 0.9319, 0.2301)  1 Zr 2.64
Br (0.4973, 0.4973, 0.5802)  3 In 2.95-3.07
Br (0.6653, 0.0513, 0.7514)  1 Zr 2.69
Br (0.8266, 0.8266, 0.1132)  1 Zr 2.65
Br (0.9319, 0.3325, 0.2301)  1 Zr 2.64

Mass density in Mg/m³: 3.950
Symmetry: Cm
DFT total energy in eV/atom: -3.58

=====

# 9
Density functional theory data (GGA-PBE) for a relaxed Zr2In2Br crystal.

Unit cell a=7.2391 b=7.2391 c=4.5805 alpha=90.00 beta=90.00 gamma=90.00
With the nearest neighbours (Å) after each atom.
Element x y z (fractional)
Zr (0.1508, 0.3492, 0.0000)  2 Br 2.75, 2 In 3.07
Zr (0.3492, 0.8492, 0.0000)  2 Br 2.75, 2 In 3.07
Zr (0.6508, 0.1508, 0.0000)  2 Br 2.75, 2 In 3.07
Zr (0.8492, 0.6508, 0.0000)  2 Br 2.75, 2 In 3.07
In (0.1500, 0.6500, 0.5000)  6 Zr 3.07-3.16, 1 In 3.07
In (0.3500, 0.1500, 0.5000)  6 Zr 3.07-3.16, 1 In 3.07
In (0.6500, 0.8500, 0.5000)  6 Zr 3.07-3.16, 1 In 3.07
In (0.8500, 0.3500, 0.5000)  6 Zr 3.07-3.16, 1 In 3.07
Br (0.0000, 0.0000, 0.0000)  4 Zr 2.75
Br (0.5000, 0.5000, 0.0000)  4 Zr 2.75

Mass density in Mg/m³: 6.807
Symmetry: P4/mbm
DFT total energy in eV/atom: -5.09

=====

# 10
Density functional theory data (GGA-PBE) for a relaxed ZrIn2Br crystal.

Unit cell a=3.2997 b=5.1701 c=5.6844 alpha=90.00 beta=90.00 gamma=90.00
With the nearest neighbours (Å) after each atom.
Element x y z (fractional)
Zr (0.0000, 0.0000, 0.0000)  4 Br 3.07, 4 In 3.29, 2 Zr 3.30
In (0.0000, 0.5000, 0.5000)  6 In 3.07-3.30, 4 Br 3.29
In (0.5000, 0.0000, 0.5000)  6 In 3.07-3.30, 4 Zr 3.29
Br (0.5000, 0.5000, 0.0000)  4 Zr 3.07, 4 In 3.29, 2 Br 3.30

Mass density in Mg/m³: 6.863
Symmetry: Pmmm
DFT total energy in eV/atom: -4.01

=====

# 11
Density functional theory data (GGA-PBE) for a relaxed Zr2InBr8 crystal.

Unit cell a=9.6900 b=9.6900 c=5.4148 alpha=90.00 beta=90.00 gamma=120.00
With the nearest neighbours (Å) after each atom.
Element x y z (fractional)
Zr (0.3333, 0.6667, 0.2453)  5 Br 2.55-2.74
Zr (0.6667, 0.3333, 0.7547)  5 Br 2.55-2.74
In (0.0000, 0.0000, 0.0000)  6 Br 3.35
Br (0.1803, 0.3625, 0.2612)  1 Zr 2.55
Br (0.1822, 0.8197, 0.2612)  1 Zr 2.55
Br (0.3333, 0.6667, 0.7521)  2 Zr 2.67-2.74
Br (0.3625, 0.1822, 0.7388)  1 Zr 2.55
Br (0.6375, 0.8178, 0.2612)  1 Zr 2.55
Br (0.6667, 0.3333, 0.2479)  2 Zr 2.67-2.74
Br (0.8178, 0.1803, 0.7388)  1 Zr 2.55
Br (0.8197, 0.6375, 0.7388)  1 Zr 2.55

Mass density in Mg/m³: 3.531
Symmetry: P-3
DFT total energy in eV/atom: -4.12

=====

# 12
Density functional theory data (GGA-PBE) for a relaxed ZrIn2Br crystal.

Unit cell a=3.4580 b=4.9372 c=5.9863 alpha=90.00 beta=106.72 gamma=90.00
With the nearest neighbours (Å) after each atom.
Element x y z (fractional)
Zr (0.0000, 0.0000, 0.0000)  2 Br 2.89, 7 In 3.02-3.23
In (0.3987, 0.5000, 0.7967)  3 Br 3.06-3.18, 4 Zr 3.23
In (0.7354, 0.0000, 0.4734)  3 Zr 3.02-3.22, 4 Br 3.25
Br (0.1297, 0.5000, 0.2624)  2 Zr 2.89, 3 In 3.06-3.18

Mass density in Mg/m³: 6.799
Symmetry: Pm
DFT total energy in eV/atom: -4.18

=====

- Number 8 is which compound?
  ZrIn3Br7

=====

- Among the records above, which one has the highest mass density?
  number 10

=====

- Which of these has the lowest mass density?
  Zr2InBr8

=====

What did the sixth record say?
Density functional theory data (GGA-PBE) for a relaxed ZrIn2Br crystal.

Unit cell a=11.1323 b=11.1323 c=11.1323 alpha=17.54 beta=17.54 gamma=17.54
With the nearest neighbours (Å) after each atom.
Element x y z (fractional)
Zr (0.0000, 0.0000, 0.0000)  3 Br 2.74
In (0.2594, 0.2594, 0.2594)  3 Zr 3.12, 9 In 3.32-3.40
In (0.5111, 0.5111, 0.5111)  9 In 3.32-3.40
Br (0.7249, 0.7249, 0.7249)  3 Zr 2.74

Mass density in Mg/m³: 6.083
Symmetry: R3m
DFT total energy in eV/atom: -4.37